DFT (PBE-GGA) results for a relaxed Tb2Sm4Ho2Er crystal.

Unit cell a=5.056 b=8.004 c=7.991 alpha=107.51 beta=90.00 gamma=108.41
Fractional positions:
Tb (0.889, 0.777, 0.331)
Tb (0.111, 0.223, 0.669)
Sm (0.778, 0.555, 0.668)
Sm (0.222, 0.445, 0.332)
Sm (0.555, 0.109, 0.332)
Sm (0.445, 0.891, 0.668)
Ho (0.333, 0.667, 0.000)
Ho (0.667, 0.333, 0.000)
Er (0.000, 0.000, 0.000)

Energy relative to the elements   0.169 eV/f.u.
Theoretical density   8084 kg/m³